(1)
# As2PPb6I3

An optimized crystal structure of As2PPb6I3 (PBE-GGA, Alexandria via LeMat-Bulk).

a b c (Å): 7.662 7.662 8.245
angles (deg): 98.91 98.91 119.94
Atoms (fractional coordinates):
I 0.500 0.500 0.500
I 0.169 0.831 0.500
As 0.666 0.334 0.000
Pb 0.260 0.260 0.803
P 0.000 0.000 0.000
Pb 0.391 0.065 0.196
Pb 0.740 0.740 0.197
I 0.831 0.169 0.500
Pb 0.065 0.391 0.196
Pb 0.935 0.609 0.804
As 0.334 0.666 0.000
Pb 0.609 0.935 0.804

Computed properties:
Space group   C2/m, No. 12
Formation energy without anion corrections   -0.273 eV per atom

=====

(2)
# Pm4AsPI2

An optimized crystal structure of Pm4AsPI2 (PBE-GGA, Alexandria via LeMat-Bulk).

a b c (Å): 4.244 7.397 7.979
angles (deg): 107.97 90.00 90.00
Atoms (fractional coordinates):
Pm 0.500 0.758 0.810
P 0.500 0.500 0.000
Pm 0.500 0.242 0.190
Pm 0.000 0.281 0.811
Pm 0.000 0.719 0.189
As 0.000 0.000 0.000
I 0.000 0.500 0.500
I 0.500 0.000 0.500

Computed properties:
Space group   P2/m, No. 10
Formation energy without anion corrections   -1.330 eV per atom

=====

(3)
# Pm8AsP3I4

An optimized crystal structure of Pm8AsP3I4 (PBE-GGA, Alexandria via LeMat-Bulk).

a b c (Å): 8.463 9.045 8.463
angles (deg): 117.90 120.00 90.00
Atoms (fractional coordinates):
Pm 0.766 0.312 0.046
As 0.000 0.500 0.000
I 0.000 0.000 0.500
Pm 0.280 0.312 0.046
I 0.500 0.000 0.500
Pm 0.766 0.312 0.532
Pm 0.271 0.313 0.542
P 0.000 0.500 0.500
P 0.500 0.500 0.000
P 0.500 0.500 0.500
Pm 0.720 0.688 0.954
Pm 0.234 0.688 0.954
I 0.000 0.000 0.000
I 0.500 0.000 0.000
Pm 0.234 0.688 0.468
Pm 0.729 0.687 0.458

Computed properties:
Space group   R-3m, No. 166
Formation energy without anion corrections   -1.349 eV per atom

=====

(4)
# Pr6As2P3I

An optimized crystal structure of Pr6As2P3I (PBE-GGA, Alexandria via LeMat-Bulk).

a b c (Å): 4.263 8.678 9.613
angles (deg): 103.43 102.81 90.00
Atoms (fractional coordinates):
As 0.834 0.670 0.668
Pr 0.678 0.086 0.356
P 0.500 0.500 0.000
P 0.836 0.166 0.672
Pr 0.322 0.914 0.644
Pr 0.334 0.414 0.668
I 0.500 0.000 0.000
Pr 0.666 0.586 0.332
P 0.164 0.834 0.328
Pr 0.999 0.282 0.997
Pr 0.001 0.718 0.003
As 0.166 0.330 0.332

Computed properties:
Space group   C2/m, No. 12
Formation energy without anion corrections   -1.466 eV per atom

=====

(5)
# Pr6AsP2I3

An optimized crystal structure of Pr6AsP2I3 (PBE-GGA, Alexandria via LeMat-Bulk).

a b c (Å): 7.444 7.444 8.125
angles (deg): 98.78 98.78 120.01
Atoms (fractional coordinates):
Pr 0.936 0.594 0.809
P 0.667 0.333 0.000
Pr 0.594 0.936 0.809
I 0.500 0.500 0.500
I 0.835 0.165 0.500
Pr 0.721 0.721 0.190
I 0.165 0.835 0.500
Pr 0.406 0.064 0.191
Pr 0.279 0.279 0.810
P 0.333 0.667 0.000
Pr 0.064 0.406 0.191
As 0.000 0.000 0.000

Computed properties:
Space group   C2/m, No. 12
Formation energy without anion corrections   -1.353 eV per atom

=====

(6)
# Pr8As3PI4

An optimized crystal structure of Pr8As3PI4 (PBE-GGA, Alexandria via LeMat-Bulk).

a b c (Å): 8.686 9.214 8.686
angles (deg): 118.13 120.00 90.00
Atoms (fractional coordinates):
I 0.500 0.000 0.500
Pr 0.743 0.692 0.968
P 0.000 0.500 0.000
I 0.500 0.000 0.000
Pr 0.257 0.308 0.032
As 0.000 0.500 0.500
Pr 0.224 0.692 0.449
Pr 0.776 0.308 0.551
Pr 0.776 0.308 0.032
As 0.500 0.500 0.500
As 0.500 0.500 0.000
Pr 0.731 0.693 0.462
I 0.000 0.000 0.000
Pr 0.224 0.692 0.968
Pr 0.269 0.307 0.538
I 0.000 0.000 0.500

Computed properties:
Space group   R-3m, No. 166
Formation energy without anion corrections   -1.328 eV per atom

=====

(7)
# Pr6As3P2I

An optimized crystal structure of Pr6As3P2I (PBE-GGA, Alexandria via LeMat-Bulk).

a b c (Å): 4.294 8.700 9.611
angles (deg): 102.44 102.91 90.00
Atoms (fractional coordinates):
P 0.168 0.333 0.335
Pr 0.678 0.098 0.355
Pr 0.331 0.421 0.662
As 0.500 0.500 0.000
P 0.832 0.667 0.665
As 0.162 0.835 0.324
Pr 0.322 0.902 0.645
As 0.838 0.165 0.676
Pr 0.995 0.721 0.991
Pr 0.005 0.279 0.009
Pr 0.669 0.579 0.338
I 0.500 0.000 0.000

Computed properties:
Space group   C2/m, No. 12
Formation energy without anion corrections   -1.446 eV per atom

=====

(8)
# AsP2RuI

An optimized crystal structure of AsP2RuI (PBE-GGA, Alexandria via LeMat-Bulk).

a b c (Å): 5.025 5.247 5.025
angles (deg): 90.00 90.00 90.00
Last column: magnetic moment on the atom in μB.
Atoms (fractional coordinates):
Ru 0.500 0.500 0.500  2.46
P 0.000 0.000 0.500  -0.08
P 0.500 0.000 0.000  -0.09
As 0.000 0.500 0.000  -0.08
I 0.000 0.000 0.000  -0.02

Computed properties:
Space group   P4/mmm, No. 123
Formation energy without anion corrections   2.133 eV per atom

=====

(9)
# Sb2AsPI

An optimized crystal structure of Sb2AsPI (PBE-GGA, Alexandria via LeMat-Bulk).

a b c (Å): 5.473 5.473 5.336
angles (deg): 90.00 90.00 90.00
Atoms (fractional coordinates):
As 0.000 0.000 0.000
I 0.000 0.000 0.500
Sb 0.500 0.000 0.000
Sb 0.000 0.500 0.000
P 0.500 0.500 0.500

Computed properties:
Space group   P4/mmm, No. 123
Formation energy without anion corrections   1.035 eV per atom
Excess energy over the best structure of this formula in the dataset   251.7 meV/atom

=====

(10)
# Sb2AsPI

An optimized crystal structure of Sb2AsPI (PBE-GGA, Alexandria via LeMat-Bulk).

a b c (Å): 5.324 5.153 5.324
angles (deg): 90.00 90.00 90.00
Atoms (fractional coordinates):
Sb 0.000 0.000 0.500
P 0.000 0.000 0.000
As 0.500 0.500 0.500
I 0.000 0.500 0.000
Sb 0.500 0.000 0.000

Computed properties:
Space group   P4/mmm, No. 123
Formation energy without anion corrections   0.783 eV per atom
Excess energy over the best structure of this formula in the dataset   0.0 meV/atom

=====

(11)
# AsPSe2I

An optimized crystal structure of AsPSe2I (PBE-GGA, Alexandria via LeMat-Bulk).

a b c (Å): 4.813 4.813 5.211
angles (deg): 90.00 90.00 90.00
Atoms (fractional coordinates):
Se 0.000 0.500 0.000
I 0.500 0.500 0.500
As 0.000 0.000 0.500
P 0.000 0.000 0.000
Se 0.500 0.000 0.000

Computed properties:
Space group   P4/mmm, No. 123
Formation energy without anion corrections   0.573 eV per atom
Excess energy over the best structure of this formula in the dataset   0.0 meV/atom

=====

(12)
# AsPSe2I

An optimized crystal structure of AsPSe2I (PBE-GGA, Alexandria via LeMat-Bulk).

a b c (Å): 5.327 5.327 5.640
angles (deg): 90.00 90.00 90.00
Last column: magnetic moment on the atom in μB.
Atoms (fractional coordinates):
I 0.000 0.000 0.000  0.01
Se 0.000 0.500 0.000  0.00
Se 0.500 0.000 0.000  0.00
As 0.000 0.000 0.500  -0.47
P 0.500 0.500 0.500  0.84

Computed properties:
Space group   P4/mmm, No. 123
Formation energy without anion corrections   1.457 eV per atom
Excess energy over the best structure of this formula in the dataset   884.2 meV/atom